Computed, not measured: a relaxed structure of CuPt at the GGA-PBE level of DFT.

Cell lengths 4.693, 7.183, 5.426 Å; angles 101.62, 107.55, 76.97 degrees
Element x y z (fractional)
Cu: 0.994 0.003 0.496
Pt: 0.499 0.493 0.485
Pt: 0.486 0.836 0.325
Cu: 0.999 0.328 0.333
Cu: 0.507 0.164 0.169
Pt: 0.502 0.169 0.667
Pt: 0.008 0.331 0.851
Cu: 0.995 0.668 0.167
Pt: 0.004 0.668 0.667
Pt: 0.501 0.837 0.836
Cu: 0.504 0.499 0.002
Cu: 0.999 0.004 0.004

Properties
DFT formation energy: -0.1202 eV per atom
Space group: No. 1
DOS(E_F): 1.714 states/eV/f.u.